Here is an optimized crystal structure of CsTb2Cl8 from Alexandria. Energies are from PBE.

Structure (extended XYZ):
```
11
Lattice="5.629 -4.208 0.000 5.629 4.208 0.000 -1.901 0.000 8.575" Properties=species:S:1:pos:R:3 pbc="T T T"
Cs 0.000 0.000 0.000
Tb 2.610 0.000 4.602
Tb 6.749 0.000 3.972
Cl 2.770 2.610 5.523
Cl 1.158 0.000 6.803
Cl 6.588 2.610 3.052
Cl 4.377 0.000 2.599
Cl 4.982 0.000 5.975
Cl 2.770 -2.610 5.523
Cl 8.201 0.000 1.772
Cl 6.588 -2.610 3.052
```

VASP energy: -4.222 eV per atom
excess energy over the best structure of this formula in the dataset: 0.063 eV per atom

---

Here is an optimized crystal structure of CsTb2Cl8 from Alexandria. Energies are from PBE.

Structure (extended XYZ):
```
11
Lattice="4.225 -6.958 0.000 4.225 6.958 0.000 0.000 0.000 5.282" Properties=species:S:1:pos:R:3 pbc="T T T"
Cs 0.000 0.000 0.000
Tb 4.225 2.723 2.641
Tb 4.225 -2.723 2.641
Cl 1.628 1.945 2.641
Cl 4.225 3.249 0.000
Cl 1.628 -1.945 2.641
Cl 4.225 0.000 1.318
Cl 4.225 0.000 3.964
Cl 6.822 1.945 2.641
Cl 4.225 -3.249 0.000
Cl 6.822 -1.945 2.641
```

VASP energy: -4.285 eV per atom
excess energy over the best structure of this formula in the dataset: 0.000 eV per atom

---

Here is an optimized crystal structure of Cs3TbCl6 from Alexandria. Energies are from PBE.

Structure (extended XYZ):
```
10
Lattice="0.000 5.942 5.942 5.942 0.000 5.942 5.942 5.942 0.000" Properties=species:S:1:pos:R:3 pbc="T T T"
Cs 0.000 0.000 0.000
Cs 2.971 2.971 2.971
Cs 8.913 8.913 8.913
Tb 5.942 5.942 5.942
Cl 5.942 5.942 3.288
Cl 5.942 3.288 5.942
Cl 8.596 5.942 5.942
Cl 3.288 5.942 5.942
Cl 5.942 8.596 5.942
Cl 5.942 5.942 8.596
```

VASP energy: -3.955 eV per atom
excess energy over the best structure of this formula in the dataset: 0.042 eV per atom

---

Here is an optimized crystal structure of CsTbCl3 from Alexandria. Energies are from PBE.

Structure (extended XYZ):
```
5
Lattice="5.406 0.000 0.000 0.000 5.406 0.000 0.000 0.000 5.406" Properties=species:S:1:pos:R:3 pbc="T T T"
Cs 0.000 0.000 0.000
Tb 2.703 2.703 2.703
Cl 0.000 2.703 2.703
Cl 2.703 0.000 2.703
Cl 2.703 2.703 0.000
```

VASP energy: -4.124 eV per atom

---

Here is an optimized crystal structure of CsTb4Cl12 from Alexandria. Energies are from PBE.

Structure (extended XYZ):
```
17
Lattice="-5.239 5.241 5.242 5.239 -5.241 5.242 5.239 5.241 -5.242" Properties=species:S:1:pos:R:3 pbc="T T T"
Cs 0.000 0.000 0.000
Tb 2.620 2.620 -2.621
Tb 2.620 -2.620 2.621
Tb -2.620 2.620 2.621
Tb 2.620 2.620 2.621
Cl 5.239 3.073 -2.281
Cl 2.959 0.000 2.178
Cl 7.519 0.000 2.178
Cl 2.170 2.950 0.000
Cl 3.069 -2.290 5.242
Cl 0.000 2.168 2.962
Cl 5.239 3.073 2.281
Cl 2.170 7.531 0.000
Cl 3.069 2.290 5.242
Cl -2.280 5.241 3.064
Cl 2.280 5.241 3.064
Cl 0.000 2.168 7.523
```

VASP energy: -4.610 eV per atom

---

Here is an optimized crystal structure of Cs2Tb3Cl10 from Alexandria. Energies are from PBE.

Structure (extended XYZ):
```
30
Lattice="12.843 -3.789 0.000 12.843 3.789 0.000 -4.107 0.000 10.036" Properties=species:S:1:pos:R:3 pbc="T T T"
Cs 2.073 0.000 2.317
Cs 2.321 0.000 8.372
Cs 19.259 0.000 1.664
Cs 19.506 0.000 7.719
Tb 10.790 1.975 5.018
Tb 6.267 0.000 4.782
Tb 10.744 0.000 0.280
Tb 10.836 0.000 9.756
Tb 15.312 0.000 5.253
Tb 10.790 -1.975 5.018
Cl 4.368 1.895 5.018
Cl -2.408 0.000 6.987
Cl 9.031 1.891 0.192
Cl 8.096 1.954 4.678
Cl 5.950 0.000 2.248
Cl 12.843 1.746 0.000
Cl 13.483 1.954 5.358
Cl 6.502 0.000 7.526
Cl 12.549 1.891 9.844
Cl 11.032 0.000 2.980
Cl 4.368 -1.895 5.018
Cl 10.547 0.000 7.056
Cl 9.031 -1.891 0.192
Cl 15.077 0.000 2.510
Cl 8.096 -1.954 4.678
Cl 12.843 -1.746 0.000
Cl 15.629 0.000 7.788
Cl 13.483 -1.954 5.358
Cl 12.549 -1.891 9.844
Cl 23.987 0.000 3.049
```

VASP energy: -4.423 eV per atom

---

Here is an optimized crystal structure of Cs3TbCl6 from Alexandria. Energies are from PBE.

Structure (extended XYZ):
```
20
Lattice="8.116 0.000 0.000 0.000 8.534 0.000 -7.996 0.000 11.576" Properties=species:S:1:pos:R:3 pbc="T T T"
Cs 0.000 0.000 0.000
Cs -3.998 4.267 5.788
Cs -4.146 0.529 8.629
Cs -0.148 3.738 2.841
Cs 0.268 4.796 8.736
Cs 4.266 8.006 2.948
Tb 0.060 0.000 5.788
Tb 4.058 4.267 0.000
Cl -2.098 1.478 5.256
Cl -6.097 2.790 11.044
Cl -1.277 6.335 5.022
Cl -5.275 6.467 10.810
Cl 0.908 0.397 3.287
Cl -3.090 3.871 9.075
Cl 3.210 4.664 2.501
Cl -0.789 8.138 8.289
Cl 5.395 2.068 0.767
Cl 1.397 2.199 6.555
Cl 6.216 5.745 0.533
Cl 2.218 7.057 6.321
```

VASP energy: -3.996 eV per atom
excess energy over the best structure of this formula in the dataset: 0.000 eV per atom

---

Here is an optimized crystal structure of Cs2TbCl5 from Alexandria. Energies are from PBE.

Structure (extended XYZ):
```
8
Lattice="-4.099 4.099 4.920 4.099 -4.099 4.920 4.099 4.099 -4.920" Properties=species:S:1:pos:R:3 pbc="T T T"
Cs 4.099 0.000 0.000
Cs 0.000 4.099 0.000
Tb 0.000 0.000 2.151
Cl 2.285 2.285 -2.225
Cl 1.815 -1.815 2.695
Cl -1.815 1.815 2.695
Cl 1.815 1.815 2.695
Cl 0.000 0.000 9.510
```

VASP energy: -4.081 eV per atom

---

Number 1: total magnetic moment 1.101 μB/f.u., uncorrected formation energy -1960 meV/atom. Number 2: total magnetic moment 0.000 μB/f.u., uncorrected formation energy -2022 meV/atom. Number 3: total magnetic moment 0.000 μB/f.u., uncorrected formation energy -2128 meV/atom. Number 4: total magnetic moment 0.000 μB/f.u., uncorrected formation energy -1919 meV/atom. Number 5: total magnetic moment 0.000 μB/f.u., uncorrected formation energy -2167 meV/atom. Number 6: total magnetic moment 0.182 μB/f.u., uncorrected formation energy -2152 meV/atom. Number 7: total magnetic moment 0.000 μB/f.u., uncorrected formation energy -2169 meV/atom. Number 8: total magnetic moment 0.000 μB/f.u., uncorrected formation energy -2134 meV/atom.